Crystalline HfAl3 at its relaxed geometry, computed with PBEsol.

```
HfAl3
1.0
4.053 0.000 0.000
0.000 4.053 0.000
0.000 0.000 4.053
Hf Al
1 3
direct
0.000 0.000 0.000 Hf
0.500 0.500 0.000 Al
0.500 0.000 0.500 Al
0.000 0.500 0.500 Al
```

Summary:
The calculation puts the density at 6.5 Mg/m³. The crystal system is cubic. The value obtained for the formation energy from the elements is -0.38 eV per atom.

Crystalline Cd2AgHg at its relaxed geometry, computed with PBEsol.

```
Cd2AgHg
1.0
3.107 0.000 0.000
1.553 2.690 0.000
1.553 0.897 9.491
Hg Ag Cd
1 1 2
direct
0.503 0.503 0.490 Hg
0.251 0.251 0.247 Ag
0.997 0.997 0.010 Cd
0.749 0.749 0.752 Cd
```

Summary:
The calculation puts the density at 11.2 Mg/m³. The crystal system is trigonal. The value obtained for the formation energy from the elements is 0.01 eV per atom.